Entry 1:
Computed, not measured: an optimized crystal structure of Y2PuHg8 at the PBE-GGA level of DFT.

The structure in POSCAR format:
```
Y2PuHg8
1.0
4.917 0.000 -1.496
-1.111 6.426 -3.650
-0.086 0.492 8.543
Hg Y Pu
8 2 1
Direct
0.000 0.705 0.000
0.353 0.145 0.705
0.647 0.855 0.295
0.353 0.560 0.705
0.155 0.155 0.311
0.000 0.295 0.000
0.845 0.845 0.689
0.647 0.440 0.295
0.803 0.303 0.607
0.197 0.697 0.393
0.500 0.000 0.000
```

Results
DFT formation energy = -0.2247 eV/atom
Crystal system = orthorhombic
Fermi-level density of states = 16.9 states/eV/f.u.
Uncorrected energy = -2.922 eV/atom

Entry 2:
Computed, not measured: an optimized crystal structure of FeCo4Ir7 at the PBE-GGA level of DFT.

The structure in POSCAR format:
```
FeCo4Ir7
1.0
4.428 -1.054 1.913
0.706 4.405 1.835
1.568 -1.387 8.352
Co Ir Fe
4 7 1
Direct
0.564 0.655 0.267
0.644 0.823 0.709
0.436 0.345 0.733
0.356 0.177 0.291
0.808 0.500 0.940
0.969 0.711 0.371
0.500 0.000 0.000
0.271 0.795 0.588
0.729 0.205 0.412
0.031 0.289 0.629
0.192 0.500 0.060
0.000 0.000 0.000
```

Results
DFT formation energy = 0.1363 eV/atom
Crystal system = triclinic
Fermi-level density of states = 13.5 states/eV/f.u.
Uncorrected energy = -8.106 eV/atom

Entry 3:
Computed, not measured: an optimized crystal structure of LaPt2Pb at the PBE-GGA level of DFT.

The structure in POSCAR format:
```
LaPt2Pb
1.0
-1.551 5.827 -0.993
-4.359 2.905 -3.148
-4.767 3.567 1.375
Pb La Pt
1 1 2
Direct
0.719 0.719 0.719
0.522 0.522 0.522
0.967 0.967 0.967
0.292 0.292 0.292
```

Results
DFT formation energy = -0.6305 eV/atom
Crystal system = trigonal
Fermi-level density of states = 2.3 states/eV/f.u.
Uncorrected energy = -5.810 eV/atom

Which of these has the lowest uncorrected energy? FeCo4Ir7

Among the records above, which one has the lowest uncorrected energy? FeCo4Ir7

Number 3 is which compound? LaPt2Pb